This record from Alexandria via LeMat-Bulk describes Pm3Sm2DyHo6 after structural relaxation. The functional is PBE-GGA.

Structure (CIF):
```
data_Pm3Sm2DyHo6
_chemical_formula_sum 'Pm3 Sm2 Dy1 Ho6'
_space_group_name_H-M_alt 'P 1'
_space_group_IT_number 1
_space_group_name_Hall 'P 1'
_cell_length_a 6.197
_cell_length_b 6.197
_cell_length_c 11.788
_cell_angle_alpha 95.01
_cell_angle_beta 95.01
_cell_angle_gamma 119.98
loop_
_atom_site_label
_atom_site_fract_x
_atom_site_fract_y
_atom_site_fract_z
Pm1 0.167 0.833 0.500
Pm2 0.833 0.167 0.500
Pm3 0.500 0.500 0.500
Sm1 0.334 0.666 0.000
Sm2 0.666 0.334 0.000
Dy1 0.000 0.000 0.000
Ho1 0.917 0.584 0.751
Ho2 0.750 0.750 0.249
Ho3 0.083 0.416 0.249
Ho4 0.584 0.917 0.751
Ho5 0.250 0.250 0.751
Ho6 0.416 0.083 0.249
```

## Properties
* VASP energy: -0.3404 Ry per atom
* calculated formation energy: 15 meV/atom